# Te2Ir PBE-GGA optimized geometry
# Crystal system: monoclinic
# N(E_F): 0.62 states/eV/atom
# DFT total energy: -4.849 eV/atom
# Formation energy (no corrections): 0.599 eV per formula unit
data_Te2Ir
_cell_length_a 3.812
_cell_length_b 3.812
_cell_length_c 8.196
_cell_angle_alpha 112.06
_cell_angle_beta 112.06
_cell_angle_gamma 50.16
_space_group_name_H-M_alt 'P 1'
_space_group_IT_number 1
loop_
_space_group_symop_operation_xyz
'x,y,z'
loop_
_atom_site_label
_atom_site_type_symbol
_atom_site_fract_x
_atom_site_fract_y
_atom_site_fract_z
Te1 Te 0.000 0.000 0.000
Te2 Te 0.506 0.506 0.542
Ir1 Ir 0.104 0.104 0.344

---

# Te4Ir3 PBE-GGA optimized geometry
# Crystal system: triclinic
# N(E_F): 0.43 states/eV/atom
# DFT total energy: -5.696 eV/atom
# Formation energy (no corrections): -0.721 eV per formula unit
data_Te4Ir3
_cell_length_a 4.099
_cell_length_b 6.730
_cell_length_c 7.041
_cell_angle_alpha 61.50
_cell_angle_beta 89.96
_cell_angle_gamma 72.36
_space_group_name_H-M_alt 'P 1'
_space_group_IT_number 1
loop_
_space_group_symop_operation_xyz
'x,y,z'
loop_
_atom_site_label
_atom_site_type_symbol
_atom_site_fract_x
_atom_site_fract_y
_atom_site_fract_z
Te1 Te 0.126 0.249 0.464
Te2 Te 0.366 0.767 0.024
Te3 Te 0.634 0.233 0.976
Te4 Te 0.874 0.751 0.536
Ir1 Ir 0.000 0.500 0.000
Ir2 Ir 0.260 0.982 0.273
Ir3 Ir 0.740 0.018 0.727

---

# Te2Ir PBE-GGA optimized geometry
# Crystal system: triclinic
# N(E_F): 0.50 states/eV/atom
# DFT total energy: -4.860 eV/atom
# Formation energy (no corrections): 0.565 eV per formula unit
data_Te2Ir
_cell_length_a 4.161
_cell_length_b 4.516
_cell_length_c 4.885
_cell_angle_alpha 92.75
_cell_angle_beta 95.10
_cell_angle_gamma 109.93
_space_group_name_H-M_alt 'P 1'
_space_group_IT_number 1
loop_
_space_group_symop_operation_xyz
'x,y,z'
loop_
_atom_site_label
_atom_site_type_symbol
_atom_site_fract_x
_atom_site_fract_y
_atom_site_fract_z
Te1 Te 0.000 0.000 0.000
Te2 Te 0.424 0.450 0.459
Ir1 Ir 0.065 0.809 0.502